NiPOsO2 | PBE with a Hubbard U | optimized geometry

a = 3.6924 Å, b = 3.6924 Å, c = 5.3043 Å
α = 90.00°, β = 90.00°, γ = 90.00°
Last column: nearest neighbours and their distance in Å.
Positions (direct):
O 0.5000 0.0000 0.0000  2 Os 1.85
O 0.0000 0.5000 0.0000  2 Os 1.85
P 0.0000 0.0000 0.5000  4 Ni 2.61, 2 Os 2.65
Os 0.0000 0.0000 0.0000  4 O 1.85
Ni 0.5000 0.5000 0.5000  4 P 2.61

calculated volume = 72.3 Å³/f.u.
offset from the most stable computed form = 0.000 eV/atom
N(E_F) = 0.76 states/eV per atom
space-group type = No. 123

=====

PaNi2OsO8 | PBE with a Hubbard U | optimized geometry

a = 4.6853 Å, b = 4.6808 Å, c = 6.5333 Å
α = 90.00°, β = 90.00°, γ = 91.05°
Last column: nearest neighbours and their distance in Å.
Positions (direct):
O 0.2836 0.2831 0.0000  1 Os 1.86
O 0.1955 0.8037 0.2179  1 Os 1.93, 1 Ni 2.04
O 0.6917 0.6921 0.5000  1 Pa 2.02, 2 Ni 2.12
O 0.8045 0.1963 0.7821  1 Os 1.93, 1 Ni 2.04
O 0.8045 0.1963 0.2179  1 Os 1.93, 1 Ni 2.04
O 0.1955 0.8037 0.7821  1 Os 1.93, 1 Ni 2.04
O 0.7164 0.7169 0.0000  1 Os 1.86
O 0.3083 0.3079 0.5000  1 Pa 2.02, 2 Ni 2.12
Ni 0.5000 0.5000 0.2395  6 O 2.04-2.12
Ni 0.5000 0.5000 0.7605  6 O 2.04-2.12
Os 0.0000 0.0000 0.0000  6 O 1.86-1.93
Pa 0.0000 0.0000 0.5000  6 O 2.02-2.26

calculated volume = 143.3 Å³/f.u.
N(E_F) = 0.14 states/eV per atom
space-group type = No. 65

=====

NiOsPb2O | PBE with a Hubbard U | optimized geometry

a = 5.2091 Å, b = 4.7298 Å, c = 5.2091 Å
α = 90.00°, β = 90.00°, γ = 90.00°
Last column: nearest neighbours and their distance in Å.
Positions (direct):
Pb 0.0000 0.0000 0.5000  2 Os 2.60
Pb 0.5000 0.0000 0.0000  2 Os 2.60
Ni 0.0000 0.5000 0.0000  2 Os 2.36
O 0.5000 0.5000 0.5000  8 Pb 3.52, 4 Ni 3.68
Os 0.0000 0.0000 0.0000  2 Ni 2.36, 4 Pb 2.60

calculated volume = 128.3 Å³/f.u.
N(E_F) = 0.87 states/eV per atom
space-group type = No. 123

=====

NiOsPb2O6 | PBE with a Hubbard U | optimized geometry

a = 5.6749 Å, b = 5.6631 Å, c = 7.9838 Å
α = 90.00°, β = 90.00°, γ = 90.00°
Last column: nearest neighbours and their distance in Å.
Positions (direct):
O 0.0666 0.4866 0.7601  1 Os 1.95, 1 Ni 2.11
O 0.7903 0.7690 0.9634  1 Os 1.96, 1 Ni 2.12
O 0.2097 0.2310 0.0366  1 Os 1.96, 1 Ni 2.12
O 0.5666 0.0134 0.2601  1 Os 1.95, 1 Ni 2.11
O 0.7322 0.2875 0.9657  1 Os 1.96, 1 Ni 2.11
O 0.9334 0.5134 0.2399  1 Os 1.95, 1 Ni 2.11
O 0.7678 0.7875 0.5343  1 Os 1.96, 1 Ni 2.11
O 0.2322 0.2125 0.4657  1 Os 1.96, 1 Ni 2.11
O 0.7097 0.2690 0.5366  1 Os 1.96, 1 Ni 2.12
O 0.2678 0.7125 0.0343  1 Os 1.96, 1 Ni 2.11
O 0.4334 0.9866 0.7399  1 Os 1.95, 1 Ni 2.11
O 0.2903 0.7310 0.4634  1 Os 1.96, 1 Ni 2.12
Pb 0.4941 0.4748 0.2486  6 O 2.50-2.72
Pb 0.0059 0.9748 0.2514  6 O 2.50-2.72
Pb 0.9941 0.0252 0.7486  6 O 2.50-2.72
Pb 0.5059 0.5252 0.7514  6 O 2.50-2.72
Os 0.5000 0.0000 0.5000  6 O 1.95-1.96
Os 0.0000 0.5000 0.0000  6 O 1.95-1.96
Ni 0.5000 0.0000 0.0000  6 O 2.11-2.12
Ni 0.0000 0.5000 0.5000  6 O 2.11-2.12

calculated volume = 128.3 Å³/f.u.
N(E_F) = 0.32 states/eV per atom
space-group type = No. 14

=====

PmNiOs2O8 | PBE with a Hubbard U | optimized geometry

a = 5.2273 Å, b = 5.2273 Å, c = 6.7266 Å
α = 112.86°, β = 112.86°, γ = 90.00°
Last column: nearest neighbours and their distance in Å.
Positions (direct):
O 0.0866 0.0077 0.6649  1 Os 1.83
O 0.1686 0.5837 0.8309  1 Os 1.83
O 0.3428 0.9134 0.3351  1 Os 1.83
O 0.9923 0.4217 0.3351  1 Os 1.83
O 0.5783 0.6572 0.6649  1 Os 1.83
O 0.7528 0.8314 0.1691  1 Os 1.83
O 0.4163 0.3377 0.1691  1 Os 1.83
O 0.6623 0.2472 0.8309  1 Os 1.83
Pm 0.0000 0.0000 0.0000  8 O 2.38-2.48
Os 0.2500 0.7500 0.5000  4 O 1.83
Os 0.5000 0.5000 0.0000  4 O 1.83
Ni 0.7500 0.2500 0.5000  8 O 2.35-2.45

calculated volume = 153.6 Å³/f.u.
N(E_F) = 0.37 states/eV per atom
space-group type = No. 82

=====

Pr2NiOsO8 | PBE with a Hubbard U | optimized geometry

a = 4.2389 Å, b = 5.4136 Å, c = 7.0118 Å
α = 82.59°, β = 94.16°, γ = 96.73°
Last column: nearest neighbours and their distance in Å.
Positions (direct):
O 0.2061 0.9501 0.7753  1 Os 1.92, 1 Ni 2.06
O 0.7939 0.0499 0.2247  1 Os 1.92, 1 Ni 2.06
O 0.7019 0.7257 0.9563  1 Os 1.88
O 0.7889 0.6733 0.5550  1 Ni 1.89
O 0.2111 0.3267 0.4450  1 Ni 1.89
O 0.2981 0.2743 0.0437  1 Os 1.88
O 0.2273 0.7765 0.1593  1 Os 1.85
O 0.7727 0.2235 0.8407  1 Os 1.85
Os 0.0000 0.0000 0.0000  6 O 1.85-1.92
Pr 0.3164 0.5194 0.7317  6 O 2.37-2.65
Pr 0.6836 0.4806 0.2683  6 O 2.37-2.65
Ni 0.0000 0.0000 0.5000  4 O 1.89-2.06

calculated volume = 158.2 Å³/f.u.
space-group type = No. 2

=====

RbNiOs2O8 | PBE with a Hubbard U | optimized geometry

a = 5.2869 Å, b = 5.2869 Å, c = 8.3031 Å
α = 86.52°, β = 86.52°, γ = 67.83°
Last column: nearest neighbours and their distance in Å.
Positions (direct):
Ni 0.0000 0.0000 0.0000  6 O 2.04-2.08
O 0.2319 0.2319 0.9591  1 Os 1.78
O 0.3215 0.3215 0.5969  1 Os 1.77
O 0.6785 0.6785 0.4031  1 Os 1.77
O 0.7768 0.2588 0.1800  1 Os 1.80
O 0.2588 0.7768 0.1800  1 Os 1.80
O 0.7681 0.7681 0.0409  1 Os 1.78
O 0.2232 0.7412 0.8200  1 Os 1.80
O 0.7412 0.2232 0.8200  1 Os 1.80
Os 0.3773 0.3773 0.7974  4 O 1.77-1.80
Os 0.6227 0.6227 0.2026  4 O 1.77-1.80
Rb 0.0000 0.0000 0.5000  6 O 2.99-3.01

calculated volume = 214.3 Å³/f.u.
N(E_F) = 0.36 states/eV per atom
space-group type = No. 12

=====

Rb2NiOsO6 | PBE with a Hubbard U | optimized geometry

a = 5.1210 Å, b = 6.1830 Å, c = 6.1830 Å
α = 120.00°, β = 90.00°, γ = 90.00°
Last column: nearest neighbours and their distance in Å.
Positions (direct):
O 0.2219 0.8592 0.1408  1 Os 1.89, 1 Ni 2.07
O 0.7781 0.1408 0.8592  1 Os 1.89, 1 Ni 2.07
O 0.2219 0.2816 0.1408  1 Os 1.89, 1 Ni 2.07
O 0.7781 0.1408 0.2816  1 Os 1.89, 1 Ni 2.07
O 0.7781 0.7184 0.8592  1 Os 1.89, 1 Ni 2.07
O 0.2219 0.8592 0.7184  1 Os 1.89, 1 Ni 2.07
Rb 0.7407 0.6667 0.3333  12 O 3.11-3.36
Rb 0.2593 0.3333 0.6667  12 O 3.11-3.36
Os 0.0000 0.0000 0.0000  6 O 1.89
Ni 0.5000 0.0000 0.0000  6 O 2.07

calculated volume = 169.5 Å³/f.u.
space-group type = No. 164

=====

NiOs2SO | PBE with a Hubbard U | optimized geometry

a = 4.6320 Å, b = 4.6320 Å, c = 3.9463 Å
α = 90.00°, β = 90.00°, γ = 90.00°
Last column: nearest neighbours and their distance in Å.
Positions (direct):
Ni 0.0000 0.0000 0.0000  2 S 1.97
O 0.5000 0.5000 0.5000  8 Os 3.04, 4 S 3.28
S 0.0000 0.0000 0.5000  2 Ni 1.97
Os 0.0000 0.5000 0.0000  2 Ni 2.32
Os 0.5000 0.0000 0.0000  2 Ni 2.32

calculated volume = 84.7 Å³/f.u.
N(E_F) = 1.14 states/eV per atom
space-group type = No. 123

=====

SiNiOs2O | PBE with a Hubbard U | optimized geometry

a = 4.4353 Å, b = 4.2299 Å, c = 4.4353 Å
α = 90.00°, β = 90.00°, γ = 90.00°
Last column: nearest neighbours and their distance in Å.
Positions (direct):
Os 0.5000 0.0000 0.0000  2 Si 2.22
Os 0.0000 0.0000 0.5000  2 Si 2.22
Si 0.0000 0.0000 0.0000  2 Ni 2.11, 4 Os 2.22
O 0.5000 0.5000 0.5000  8 Os 3.06, 4 Ni 3.14
Ni 0.0000 0.5000 0.0000  2 Si 2.11

calculated volume = 83.2 Å³/f.u.
N(E_F) = 1.41 states/eV per atom
space-group type = No. 123

=====

Sr3NiOs2O9 | PBE with a Hubbard U | optimized geometry

a = 5.6236 Å, b = 5.6236 Å, c = 6.8887 Å
α = 90.00°, β = 90.00°, γ = 120.00°
Last column: nearest neighbours and their distance in Å.
Positions (direct):
Os 0.6667 0.3333 0.8404  6 O 1.95-1.96
Os 0.3333 0.6667 0.1596  6 O 1.95-1.96
O 0.8285 0.1715 0.6738  1 Os 1.95, 1 Ni 2.05
O 0.5000 0.0000 0.0000  2 Os 1.96
O 0.1715 0.8285 0.3262  1 Os 1.95, 1 Ni 2.05
O 0.1715 0.3430 0.3262  1 Os 1.95, 1 Ni 2.05
O 0.3430 0.1715 0.6738  1 Os 1.95, 1 Ni 2.05
O 0.0000 0.5000 0.0000  2 Os 1.96
O 0.5000 0.5000 0.0000  2 Os 1.96
O 0.8285 0.6570 0.6738  1 Os 1.95, 1 Ni 2.05
O 0.6570 0.8285 0.3262  1 Os 1.95, 1 Ni 2.05
Sr 0.0000 0.0000 0.0000  12 O 2.80-2.81
Sr 0.3333 0.6667 0.6439  12 O 2.70-2.94
Sr 0.6667 0.3333 0.3561  12 O 2.70-2.94
Ni 0.0000 0.0000 0.5000  6 O 2.05

calculated volume = 188.7 Å³/f.u.
N(E_F) = 0.28 states/eV per atom
space-group type = No. 164

=====

SrNiOsO2 | PBE with a Hubbard U | optimized geometry

a = 3.7788 Å, b = 6.7927 Å, c = 3.7788 Å
α = 90.00°, β = 90.00°, γ = 90.00°
Last column: nearest neighbours and their distance in Å.
Positions (direct):
Os 0.0000 0.0000 0.0000  4 O 1.89
Ni 0.5000 0.5000 0.5000  4 Sr 2.67
O 0.0000 0.0000 0.5000  2 Os 1.89
O 0.5000 0.0000 0.0000  2 Os 1.89
Sr 0.0000 0.5000 0.0000  4 Ni 2.67

calculated volume = 97.0 Å³/f.u.
N(E_F) = 0.44 states/eV per atom
space-group type = No. 123

=====

Number 1: uncorrected energy -29.7 eV per cell. Number 2: uncorrected energy -86.1 eV per cell. Number 3: uncorrected energy -21.4 eV per cell. Number 4: uncorrected energy -122.8 eV per cell. Number 5: uncorrected energy -84.3 eV per cell. Number 6: uncorrected energy -85.6 eV per cell. Number 7: uncorrected energy -78.2 eV per cell. Number 8: uncorrected energy -57.0 eV per cell. Number 9: uncorrected energy -22.3 eV per cell. Number 10: uncorrected energy -26.3 eV per cell. Number 11: uncorrected energy -102.0 eV per cell. Number 12: uncorrected energy -25.1 eV per cell.